DFT (GGA-PBE) results for an optimized crystal structure of InCu3Mo5. Values from VASP.

## Properties
The symmetry is P-62m (189). For the final energy, the calculation gives -64.93 eV per cell.

```
&SYSTEM
  ibrav = 0, nat = 9, ntyp = 3
/
ATOMIC_SPECIES
In 114.82 In.upf
Cu 63.55 Cu.upf
Mo 95.94 Mo.upf
CELL_PARAMETERS angstrom
7.681 0.000 0.000
-3.840 6.652 0.000
0.000 0.000 2.709
ATOMIC_POSITIONS angstrom
In 0.000 0.000 0.000
Cu -2.474 4.286 0.000
Cu 1.366 2.366 0.000
Cu 4.949 0.000 0.000
Mo -1.269 2.198 1.355
Mo 2.538 0.000 1.355
Mo 0.000 4.434 1.355
Mo 3.840 2.217 1.355
Mo 2.571 4.454 1.355
```